DFT (PBE+U) results for a relaxed Cs2AcMn3F12 crystal.

a = 7.8373 Å, b = 7.8373 Å, c = 18.7363 Å
α = 90.00°, β = 90.00°, γ = 120.00°
Space group R-3m (No. 166, hexagonal axes)
One atom of each set of equivalent atoms:
Cs 0.0000 0.0000 0.1151 [6 per cell]
Ac 0.0000 0.0000 0.5000 [3 per cell]
Mn 0.0000 0.5000 0.0000 [9 per cell]
F 0.0014 0.5007 0.1132 [18 per cell]
F 0.0883 0.5442 0.3236 [18 per cell]

Calculated values
Raw total energy ... -5.83 eV per atom
Volume ... 997 Å³/cell